! Y2ZrSi | the Alexandria database | PBE | relaxed; values from VASP
! relative energy among the computed polymorphs	0.226	eV/atom
! volume	25.5	A^3/atom
! electronic total energy	-6.7909	eV/atom
! Fermi-level density of states	1.49	states/eV/atom
! space group	R-3m
! uncorrected formation energy	-0.07	eV/atom
&SYSTEM
  ibrav = 0, nat = 4, ntyp = 3
/
ATOMIC_SPECIES
Si 28.09 Si.upf
Y 88.91 Y.upf
Zr 91.22 Zr.upf
CELL_PARAMETERS angstrom
-2.854 -9.418 0.892
-0.648 -9.186 3.582
-3.957 -8.149 3.946
ATOMIC_POSITIONS angstrom
Si -5.594 -20.064 6.315
Y -0.077 -0.275 0.086
Y -3.653 -13.101 4.124
Zr -1.865 -6.688 2.105